The following is a DFT calculation (GGA-PBE) of a relaxed SrLi9Zn2 crystal.

calculated density: 1.85 g/cm3
DFT formation energy: -57.5 meV/atom
magnetic moment: 0.000 μB/atom
crystal system: tetragonal
volume: 21.0 Å³/atom
final energy: -1.85 eV per atom

Geometry as extended XYZ:
```
24
Lattice="-5.799 5.799 3.742 5.799 -5.799 3.742 5.799 5.799 -3.742" Properties=species:S:1:pos:R:3 pbc="T T T"
Sr 5.799 2.900 0.935
Sr 0.000 2.900 2.806
Li 5.799 -2.900 2.806
Li 4.362 -0.571 1.449
Li 7.236 -0.571 1.449
Li 2.328 1.463 0.422
Li 9.270 1.463 0.422
Li 4.362 5.228 -1.449
Li 1.437 -0.571 2.292
Li 2.328 4.336 0.422
Li 3.471 -1.463 4.163
Li 2.328 7.262 -0.422
Li 3.471 1.463 3.320
Li 4.362 6.370 1.449
Li 1.437 0.571 5.191
Li -3.471 4.336 3.320
Li 3.471 4.336 3.320
Li -1.437 6.370 2.292
Li 1.437 6.370 2.292
Li 0.000 8.699 0.935
Zn 0.000 0.000 0.000
Zn 2.900 2.900 -1.871
Zn 2.900 -2.900 1.871
Zn 0.000 5.799 0.000
```